Record 1
ScP2Br after structural relaxation. Source: Alexandria via LeMat-Bulk, functional PBE.

Output
density of states at the Fermi level	2.089	states/eV/cell
electronic total energy	-0.3856	Ry per atom
energy above the most stable polymorph in this dataset	28.8	kJ/mol of atoms
formation energy (no corrections)	-0.540	eV/atom

Cell and atoms, written as CIF:
```
data_ScP2Br
_symmetry_space_group_name_H-M 'P 4/m m m'
_symmetry_Int_Tables_number 123
_symmetry_space_group_name_Hall '-P 4 2'
_cell_length_a 3.6152
_cell_length_b 3.6152
_cell_length_c 6.2913
_cell_angle_alpha 90.00
_cell_angle_beta 90.00
_cell_angle_gamma 90.00
loop_
_atom_site_label
_atom_site_fract_x
_atom_site_fract_y
_atom_site_fract_z
_atom_site_occupancy
Sc1 0.0000 0.0000 0.0000 1
P1 0.5000 0.5000 0.1709 1
Br1 0.0000 0.0000 0.5000 1
```

=====

Record 2
HfTaMn after structural relaxation. Source: Alexandria via LeMat-Bulk, functional PBE.

Output
formation energy	0.00	eV per atom
density of states at the Fermi level	15.276	states/eV/cell
electronic total energy	-0.7586	Ry per atom
energy above the most stable polymorph in this dataset	15.5	kJ/mol of atoms

Cell and atoms, written as CIF:
```
data_HfTaMn
_symmetry_space_group_name_H-M 'C m c m'
_symmetry_Int_Tables_number 63
_symmetry_space_group_name_Hall '-C 2c 2'
_cell_length_a 3.8220
_cell_length_b 9.8197
_cell_length_c 5.6459
_cell_angle_alpha 90.00
_cell_angle_beta 90.00
_cell_angle_gamma 90.00
loop_
_atom_site_label
_atom_site_fract_x
_atom_site_fract_y
_atom_site_fract_z
_atom_site_occupancy
Hf1 0.0000 0.2168 0.2500 1
Ta1 0.0000 0.5000 0.0000 1
Mn1 0.0000 0.0783 0.7500 1
```